Record 1
An optimized crystal structure of Ac6PrEr2, computed with PBE.

Calculated values
Formation enthalpy at 0 K   20.3 kJ/mol of atoms
E   -4.074 eV/atom

Lattice parameters (Å, degrees): 16.1490 9.8654 9.5678 90.00 92.62 90.00
With the nearest neighbours (Å) after each atom.
Space group C2/c (No. 15)
Symmetry-distinct sites (fractional):
Ac: 0.0748 0.1805 0.1084 x8  2 Er 3.50-3.70, 2 Pr 3.60-3.76, 5 Ac 3.69-3.90
Ac: 0.1121 0.4937 0.8716 x8  2 Er 3.66-3.77, 2 Ac 3.85-3.89, 1 Pr 3.99
Ac: 0.1623 0.1369 0.4745 x8  3 Er 3.55-3.94, 5 Ac 3.62-3.90, 1 Pr 3.80
Pr: 0.0000 0.1507 0.7500 x4  8 Ac 3.60-3.99, 2 Er 3.74
Er: 0.2279 0.1779 0.8317 x8  6 Ac 3.50-3.77, 1 Er 3.56, 1 Pr 3.74


Record 2
An optimized crystal structure of TiV3Br, computed with PBE.

Calculated values
Relative energy among the computed polymorphs   0.4978 eV per atom
E   -5.944 eV/atom
E_form (uncorrected)   1.44 eV per atom

Lattice parameters (Å, degrees): 4.5529 4.5529 4.5529 90.00 90.00 90.00
With the nearest neighbours (Å) after each atom.
Space group Pm-3m (No. 221)
Symmetry-distinct sites (fractional):
Ti: 0.0000 0.0000 0.0000 x1  6 V 2.28
V: 0.0000 0.0000 0.5000 x3  2 Ti 2.28
Br: 0.5000 0.5000 0.5000 x1  12 V 3.22


Record 3
An optimized crystal structure of RePb2, computed with PBE.

Calculated values
Relative energy among the computed polymorphs   0.4456 eV per atom
Formation enthalpy at 0 K   97.1 kJ/mol of atoms
E   -5.615 eV/atom

Lattice parameters (Å, degrees): 6.7214 6.7214 6.7214 90.00 90.00 90.00
With the nearest neighbours (Å) after each atom.
Space group Fm-3m (No. 225)
Symmetry-distinct sites (fractional):
Re: 0.0000 0.0000 0.0000 x4  8 Pb 2.91
Pb: 0.2500 0.2500 0.2500 x8  4 Re 2.91


Record 4
An optimized crystal structure of Sr3LiC2N6, computed with PBE.

Calculated values
E   -6.671 eV/atom
E_form (uncorrected)   -0.39 eV per atom

Lattice parameters (Å, degrees): 5.5976 5.5976 6.5252 90.00 90.00 120.00
With the nearest neighbours (Å) after each atom.
Space group P-3m1 (No. 164)
Symmetry-distinct sites (fractional):
Sr: 0.0000 0.0000 0.0000 x1  6 N 2.60
Sr: 0.3333 0.6667 0.6602 x2  1 C 2.59, 9 N 2.84-2.85
Li: 0.0000 0.0000 0.5000 x1  6 N 2.39
C: 0.3333 0.6667 0.2627 x2  3 N 1.35
N: 0.1947 0.3895 0.2748 x6  1 C 1.35


Record 5
An optimized crystal structure of Ca2NdZn2Ga2, computed with PBE.

Calculated values
Formation enthalpy at 0 K   -39.9 kJ/mol of atoms
E   -2.895 eV/atom

Lattice parameters (Å, degrees): 4.4703 4.4703 31.1233 90.00 90.00 120.00
With the nearest neighbours (Å) after each atom.
Space group R-3m (No. 166, hexagonal axes)
Symmetry-distinct sites (fractional):
Ca: 0.0000 0.0000 0.1198 x6  3 Ga 3.16, 3 Zn 3.20
Nd: 0.0000 0.0000 0.0000 x3  6 Zn 3.17, 6 Ga 3.21
Zn: 0.0000 0.0000 0.3924 x6  3 Ga 2.58
Ga: 0.0000 0.0000 0.2720 x6  3 Zn 2.58


Record 6
An optimized crystal structure of NaCuBi, computed with PBE.

Calculated values
Relative energy among the computed polymorphs   0.0278 eV per atom
Formation enthalpy at 0 K   -5.3 kJ/mol of atoms
E   -3.154 eV/atom

Lattice parameters (Å, degrees): 4.7587 4.7587 3.5600 90.00 90.00 120.00
With the nearest neighbours (Å) after each atom.
Space group P-6m2 (No. 187)
Symmetry-distinct sites (fractional):
Na: 0.0000 0.0000 0.0000 x1  6 Cu 3.27, 6 Bi 3.27, 2 Na 3.56
Cu: 0.6667 0.3333 0.5000 x1  3 Bi 2.75
Bi: 0.3333 0.6667 0.5000 x1  3 Cu 2.75


Record 7
An optimized crystal structure of Ti2GaPd2, computed with PBE.

Calculated values
Relative energy among the computed polymorphs   0.1419 eV per atom
Formation enthalpy at 0 K   -34.4 kJ/mol of atoms
E   -6.197 eV/atom

Lattice parameters (Å, degrees): 7.5726 7.5726 2.9315 90.00 90.00 90.00
With the nearest neighbours (Å) after each atom.
Space group P4/mbm (No. 127)
Symmetry-distinct sites (fractional):
Ti: 0.1642 0.3358 0.0000 x4  6 Pd 2.64-2.69, 2 Ga 2.83, 2 Ti 2.93
Ga: 0.0000 0.0000 0.0000 x2  4 Ti 2.83, 2 Ga 2.93
Pd: 0.1314 0.6314 0.5000 x4  6 Ti 2.64-2.69, 3 Pd 2.81-2.93


Record 8
An optimized crystal structure of Sm3Dy3Mg, computed with PBE.

Calculated values
Relative energy among the computed polymorphs   0.0767 eV per atom
Formation enthalpy at 0 K   8.8 kJ/mol of atoms
E   -4.131 eV/atom

Lattice parameters (Å, degrees): 6.2007 6.2007 42.0079 90.00 90.00 120.00
With the nearest neighbours (Å) after each atom.
Space group R-3 (No. 148, hexagonal axes)
Symmetry-distinct sites (fractional):
Sm: 0.0002 0.3343 0.0644 x18  2 Mg 3.40, 3 Dy 3.52, 6 Sm 3.57-3.59
Dy: 0.0002 0.3330 0.8677 x18  3 Sm 3.52, 9 Dy 3.55-3.58
Mg: 0.0000 0.0000 0.3333 x6  6 Sm 3.40, 3 Mg 3.58


Record 9
An optimized crystal structure of SrScGa, computed with PBE.

Calculated values
Relative energy among the computed polymorphs   0.0790 eV per atom
Formation enthalpy at 0 K   -29.6 kJ/mol of atoms
E   -3.987 eV/atom

Lattice parameters (Å, degrees): 4.0775 22.9506 3.9415 90.00 90.00 90.00
With the nearest neighbours (Å) after each atom.
Space group Cmcm (No. 63)
Symmetry-distinct sites (fractional):
Sr: 0.0000 0.1785 0.2500 x4  1 Ga 3.22
Sc: 0.0000 0.4415 0.2500 x4  6 Ga 2.87-3.01
Ga: 0.0000 0.0381 0.2500 x4  2 Ga 2.63, 4 Sc 2.87


Record 10
An optimized crystal structure of KMnSi2, computed with PBE.

Calculated values
Relative energy among the computed polymorphs   0.0000 eV per atom
E   -5.202 eV/atom
E_form (uncorrected)   0.08 eV per atom

Lattice parameters (Å, degrees): 7.9010 3.0319 7.0297 90.00 98.80 90.00
With the nearest neighbours (Å) after each atom.
Space group C2/m (No. 12)
Symmetry-distinct sites (fractional):
K: 0.0000 0.0000 0.0000 x2  2 K 3.03, 2 Si 3.36
Mn: 0.0000 0.5000 0.5000 x2  6 Si 2.42-2.48
Si: 0.2271 0.0000 0.6332 x4  3 Mn 2.42-2.48, 2 Si 2.48


Record 11
An optimized crystal structure of SnPd2Au, computed with PBE.

Calculated values
Formation enthalpy at 0 K   0.0 kJ/mol of atoms
E   -4.416 eV/atom

Lattice parameters (Å, degrees): 3.0266 4.7361 10.7403 90.00 90.00 90.00
With the nearest neighbours (Å) after each atom.
Space group Immm (No. 71)
Symmetry-distinct sites (fractional):
Sn: 0.0000 0.0000 0.0000 x2  2 Pd 2.63, 4 Au 2.81
Pd: 0.0000 0.0000 0.2447 x4  1 Sn 2.63, 1 Au 2.74, 4 Pd 2.81
Au: 0.0000 0.0000 0.5000 x2  2 Pd 2.74, 4 Sn 2.81, 2 Au 3.03


Record 12
An optimized crystal structure of LiTc, computed with PBE.

Calculated values
Relative energy among the computed polymorphs   0.1675 eV per atom
Formation enthalpy at 0 K   25.2 kJ/mol of atoms
E   -5.879 eV/atom

Lattice parameters (Å, degrees): 4.3567 9.4349 3.9445 90.00 90.00 90.00
With the nearest neighbours (Å) after each atom.
Space group Cmmm (No. 65)
Symmetry-distinct sites (fractional):
Li: 0.0000 0.0000 0.0000 x2  4 Li 2.49, 4 Tc 2.68
Li: 0.0000 0.1617 0.5000 x4  4 Li 2.49-2.74, 4 Tc 2.56-2.66
Tc: 0.0000 0.3343 0.0000 x4  4 Tc 2.52-2.70, 4 Li 2.56-2.68
Tc: 0.0000 0.5000 0.5000 x2  4 Tc 2.52, 4 Li 2.66